Tm2NpSb3 (GGA-PBE, relaxed); formation energy without anion corrections = -0.77 eV per atom; calculated total energy = -6.4753 eV/atom; theoretical density = 8.89 Mg/m³; symmetry = No. 70
1.0
-5.6417 -4.2135 -2.7211
6.1136 -0.8859 -4.3388
3.6234 -7.4479 11.0093
Sb Tm Np
12 8 4
direct
0.6680 0.1703 0.8342 Sb
0.7468 0.7468 0.0000 Sb
0.1662 0.6639 0.8342 Sb
0.0838 0.0861 0.6658 Sb
0.9139 0.9162 0.3342 Sb
0.3361 0.8338 0.1658 Sb
0.5820 0.5797 0.6658 Sb
0.2532 0.2532 0.0000 Sb
0.8297 0.3320 0.1658 Sb
0.9968 0.4968 0.5000 Sb
0.4203 0.4180 0.3342 Sb
0.5032 0.0032 0.5000 Sb
0.4166 0.4166 0.8332 Tm
0.6666 0.1666 0.3332 Tm
0.8334 0.3334 0.6668 Tm
0.7505 0.7505 0.5010 Tm
0.4995 0.9995 0.9990 Tm
0.2495 0.2495 0.4990 Tm
0.5834 0.5834 0.1668 Tm
0.0005 0.5005 0.0010 Tm
0.1666 0.6666 0.3333 Np
0.0834 0.0834 0.1667 Np
0.3334 0.8334 0.6667 Np
0.9166 0.9166 0.8333 Np